# Cu3MoBr2F6

A geometry-optimized Cu3MoBr2F6 structure (PBE with a Hubbard U, the Alexandria database).

abc: 7.3190 7.3190 5.0456
angles: 94.27 94.27 51.03
Closest atoms and distances in Å follow each position.
Positions (direct):
Cu  0.0000  0.0000  0.0000  4 F 2.26, 2 Br 2.50
Cu  0.0000  0.5000  0.5000  2 F 2.20, 2 Br 2.37
Cu  0.5000  0.0000  0.5000  2 F 2.20, 2 Br 2.37
Mo  0.5000  0.5000  0.5000  6 F 1.98-2.08
Br  0.1816  0.1816  0.1820  3 Cu 2.37-2.50
Br  0.8184  0.8184  0.8180  3 Cu 2.37-2.50
F  0.2241  0.6771  0.2499  1 Mo 1.98
F  0.3229  0.7759  0.7501  1 Mo 1.98
F  0.3570  0.3570  0.6418  1 Mo 2.08, 2 Cu 2.20
F  0.6430  0.6430  0.3582  1 Mo 2.08, 2 Cu 2.20
F  0.6771  0.2241  0.2499  1 Mo 1.98
F  0.7759  0.3229  0.7501  1 Mo 1.98

## Properties
size of the total moment: 0.2556 μB per atom
crystal system: monoclinic
DFT total energy: -4.30 eV/atom